Entry 1:
The following is a DFT calculation (PBE) of PtS2 after structural relaxation.

Results
Space group: P6_3/mmc
VASP energy (eV/atom): -4.561

Cell: 3.480 3.480 10.961 Å, 90.00 90.00 120.00°
Fractional coordinates of all 6 atoms:
Pt 0.333 0.667 0.750
Pt 0.667 0.333 0.250
S 0.667 0.333 0.622
S 0.333 0.667 0.378
S 0.333 0.667 0.122
S 0.667 0.333 0.878

---

Entry 2:
The following is a DFT calculation (PBE) of Lu2Cu2SnGe after structural relaxation.

Results
Space group: P3m1
VASP energy (eV/atom): -4.775

Cell: 4.375 4.375 7.024 Å, 90.00 90.00 120.00°
Fractional coordinates of all 6 atoms:
Lu 0.000 0.000 0.488
Lu 0.000 0.000 0.006
Sn 0.667 0.333 0.770
Cu 0.333 0.667 0.669
Cu 0.667 0.333 0.189
Ge 0.333 0.667 0.274

---

Entry 3:
The following is a DFT calculation (PBE) of Ba4MgZn after structural relaxation.

Results
Space group: P4/mmm
VASP energy (eV/atom): -1.832

Cell: 4.262 4.262 15.264 Å, 90.00 90.00 90.00°
Fractional coordinates of all 6 atoms:
Ba 0.500 0.500 0.143
Ba 0.500 0.500 0.857
Ba 0.000 0.000 0.625
Ba 0.000 0.000 0.375
Mg 0.000 0.000 0.000
Zn 0.500 0.500 0.500